Record 1
First-principles (PBEsol) data for crystalline Sc2Mn at its relaxed geometry, as listed in Alexandria via LeMat-Bulk.

Calculated values
ρ   4.2 Mg/m³
D(E_F)   6.58 states/eV per cell
Calculated formation energy   253 meV/atom
VASP energy   -7.404 eV per atom
Crystal system   orthorhombic
Total moment   5.2 Bohr magnetons per cell

abc: 3.069 4.825 7.883
angles: 90.00 101.22 90.00
Positions (direct):
Mn (0.720, 0.750, 0.439)
Mn (0.280, 0.250, 0.561)
Sc (0.367, 0.750, 0.734)
Sc (0.061, 0.750, 0.123)
Sc (0.939, 0.250, 0.877)
Sc (0.633, 0.250, 0.266)

---

Record 2
First-principles (PBEsol) data for crystalline KAl2NiP3H4O14 at its relaxed geometry, as listed in Alexandria via LeMat-Bulk.

Calculated values
ρ   2.9 Mg/m³
VASP energy   -6.834 eV per atom
Crystal system   monoclinic
Total moment   4.0 Bohr magnetons per cell

abc: 8.214 8.214 8.714
angles: 76.05 76.05 75.15
Positions (direct):
K (0.135, 0.865, 0.750)
K (0.865, 0.135, 0.250)
Al (0.253, 0.405, 0.071)
Al (0.595, 0.747, 0.429)
Al (0.747, 0.595, 0.929)
Al (0.405, 0.253, 0.571)
Ni (0.223, 0.777, 0.250)
Ni (0.777, 0.223, 0.750)
P (0.916, 0.666, 0.177)
P (0.334, 0.084, 0.323)
P (0.084, 0.334, 0.823)
P (0.666, 0.916, 0.677)
P (0.497, 0.503, 0.250)
P (0.503, 0.497, 0.750)
H (0.135, 0.577, 0.545)
H (0.423, 0.865, 0.955)
H (0.865, 0.423, 0.455)
H (0.577, 0.135, 0.045)
H (0.976, 0.727, 0.496)
H (0.273, 0.024, 0.004)
H (0.024, 0.273, 0.504)
H (0.727, 0.976, 0.996)
O (0.191, 0.001, 0.315)
O (0.999, 0.809, 0.185)
O (0.809, 0.999, 0.685)
O (0.001, 0.191, 0.815)
O (0.103, 0.697, 0.485)
O (0.303, 0.897, 0.015)
O (0.897, 0.303, 0.515)
O (0.697, 0.103, 0.985)
O (0.324, 0.528, 0.195)
O (0.472, 0.676, 0.305)
O (0.676, 0.472, 0.805)
O (0.528, 0.324, 0.695)
O (0.651, 0.472, 0.112)
O (0.528, 0.349, 0.388)
O (0.349, 0.528, 0.888)
O (0.472, 0.651, 0.612)
O (0.383, 0.211, 0.162)
O (0.789, 0.617, 0.338)
O (0.617, 0.789, 0.838)
O (0.211, 0.383, 0.662)
O (0.184, 0.268, 0.964)
O (0.732, 0.816, 0.536)
O (0.816, 0.732, 0.036)
O (0.268, 0.184, 0.464)
O (0.039, 0.493, 0.155)
O (0.507, 0.961, 0.345)
O (0.961, 0.507, 0.845)
O (0.493, 0.039, 0.655)

---

Record 3
First-principles (PBEsol) data for crystalline ZrCd2Se at its relaxed geometry, as listed in Alexandria via LeMat-Bulk.

Calculated values
ρ   8.1 Mg/m³
D(E_F)   2.72 states/eV per cell
E_form (uncorrected)   -129 meV per atom
VASP energy   -3.963 eV per atom
Crystal system   cubic
Total moment   0.0 Bohr magnetons per cell

abc: 4.851 4.851 4.851
angles: 60.00 60.00 60.00
Positions (direct):
Cd (0.000, 0.000, 0.000)
Cd (0.750, 0.750, 0.750)
Se (0.500, 0.500, 0.500)
Zr (0.250, 0.250, 0.250)

---

Record 4
First-principles (PBEsol) data for crystalline NaBiP4O12 at its relaxed geometry, as listed in Alexandria via LeMat-Bulk.

Calculated values
ρ   3.9 Mg/m³
D(E_F)   0.00 states/eV per cell
E_form (uncorrected)   -2097 meV per atom
VASP energy   -7.200 eV per atom
Crystal system   monoclinic
Total moment   0.0 Bohr magnetons per cell

abc: 7.205 9.886 13.130
angles: 90.00 90.00 89.46
Positions (direct):
Na (0.500, 0.437, 0.223)
Na (0.000, 0.063, 0.723)
Na (0.500, 0.563, 0.777)
Na (0.000, 0.937, 0.277)
Bi (0.013, 0.523, 0.219)
Bi (0.487, 0.977, 0.719)
Bi (0.987, 0.477, 0.781)
Bi (0.513, 0.023, 0.281)
P (0.877, 0.235, 0.385)
P (0.148, 0.197, 0.129)
P (0.648, 0.697, 0.371)
P (0.852, 0.803, 0.871)
P (0.249, 0.760, 0.398)
P (0.251, 0.740, 0.898)
P (0.751, 0.240, 0.602)
P (0.749, 0.260, 0.102)
P (0.352, 0.303, 0.629)
P (0.623, 0.265, 0.885)
P (0.771, 0.800, 0.090)
P (0.377, 0.735, 0.115)
P (0.271, 0.300, 0.410)
P (0.229, 0.200, 0.910)
P (0.729, 0.700, 0.590)
P (0.123, 0.765, 0.615)
O (0.283, 0.365, 0.523)
O (0.217, 0.135, 0.023)
O (0.717, 0.635, 0.477)
O (0.783, 0.865, 0.977)
O (0.244, 0.417, 0.339)
O (0.256, 0.083, 0.839)
O (0.756, 0.583, 0.661)
O (0.744, 0.917, 0.161)
O (0.284, 0.394, 0.713)
O (0.216, 0.106, 0.213)
O (0.716, 0.606, 0.287)
O (0.784, 0.894, 0.787)
O (0.090, 0.709, 0.334)
O (0.410, 0.791, 0.834)
O (0.910, 0.291, 0.666)
O (0.590, 0.209, 0.166)
O (0.316, 0.154, 0.633)
O (0.805, 0.099, 0.354)
O (0.184, 0.346, 0.133)
O (0.816, 0.654, 0.867)
O (0.433, 0.207, 0.393)
O (0.067, 0.293, 0.893)
O (0.567, 0.793, 0.607)
O (0.933, 0.707, 0.107)
O (0.361, 0.849, 0.189)
O (0.139, 0.651, 0.689)
O (0.639, 0.151, 0.811)
O (0.861, 0.349, 0.311)
O (0.072, 0.831, 0.873)
O (0.428, 0.669, 0.373)
O (0.928, 0.169, 0.127)
O (0.572, 0.331, 0.627)
O (0.283, 0.788, 0.013)
O (0.217, 0.712, 0.513)
O (0.717, 0.212, 0.987)
O (0.783, 0.288, 0.487)
O (0.785, 0.409, 0.108)
O (0.715, 0.091, 0.608)
O (0.215, 0.591, 0.892)
O (0.285, 0.909, 0.392)
O (0.588, 0.709, 0.081)
O (0.912, 0.791, 0.581)
O (0.412, 0.291, 0.919)
O (0.088, 0.209, 0.419)
O (0.305, 0.599, 0.146)
O (0.195, 0.901, 0.646)
O (0.695, 0.401, 0.854)
O (0.684, 0.846, 0.367)